No. 1
{"formula": "SbMo3P", "functional": "PBE", "state": "relaxed", "lattice_angstrom": [[4.909, 0.000, 0.000], [0.000, 4.909, 0.000], [0.000, 0.000, 4.909]], "species": ["Sb", "Mo", "Mo", "Mo", "P"], "fractional_positions": [[0.000, 0.000, 0.000], [0.000, 0.000, 0.500], [0.000, 0.500, 0.000], [0.500, 0.000, 0.000], [0.500, 0.500, 0.500]], "total_energy_ev_per_atom": -6.129, "total_magnetization_mub_per_atom": 0.3869, "e_form_raw_ev_per_atom": 2.2759, "spacegroup": "Pm-3m, No. 221", "polymorph_energy_mev_per_atom": 1789}



No. 2
{"formula": "Sb2MoP", "functional": "PBE", "state": "relaxed", "lattice_angstrom": [[3.472, 0.000, 0.000], [-1.736, 3.006, 0.000], [0.000, 0.000, 23.285]], "species": ["Sb", "Sb", "Sb", "Sb", "Sb", "Sb", "Mo", "Mo", "Mo", "P", "P", "P"], "fractional_positions": [[0.000, 0.000, 0.250], [0.000, 0.000, 0.750], [0.333, 0.667, 0.417], [0.333, 0.667, 0.917], [0.667, 0.333, 0.083], [0.667, 0.333, 0.583], [0.000, 0.000, 0.000], [0.333, 0.667, 0.667], [0.667, 0.333, 0.333], [0.000, 0.000, 0.500], [0.333, 0.667, 0.167], [0.667, 0.333, 0.833]], "total_energy_ev_per_atom": -5.755, "total_magnetization_mub_per_atom": 0.0001, "e_form_raw_ev_per_atom": 0.3663, "spacegroup": "R-3m, No. 166"}



No. 3
{"formula": "Sb2MoP", "functional": "PBE", "state": "relaxed", "lattice_angstrom": [[6.791, 0.000, 0.000], [0.000, 6.791, 0.000], [0.000, 0.000, 6.791]], "species": ["Sb", "Sb", "Sb", "Sb", "Sb", "Sb", "Sb", "Sb", "Mo", "Mo", "Mo", "Mo", "P", "P", "P", "P"], "fractional_positions": [[0.000, 0.000, 0.000], [0.000, 0.500, 0.500], [0.250, 0.250, 0.250], [0.250, 0.750, 0.750], [0.500, 0.000, 0.500], [0.500, 0.500, 0.000], [0.750, 0.250, 0.750], [0.750, 0.750, 0.250], [0.000, 0.000, 0.500], [0.000, 0.500, 0.000], [0.500, 0.000, 0.000], [0.500, 0.500, 0.500], [0.250, 0.250, 0.750], [0.250, 0.750, 0.250], [0.750, 0.250, 0.250], [0.750, 0.750, 0.750]], "total_energy_ev_per_atom": -5.506, "total_magnetization_mub_per_atom": 0.0000, "e_form_raw_ev_per_atom": 0.6155, "spacegroup": "F-43m, No. 216"}



No. 4
{"formula": "SbMo3P", "functional": "PBE", "state": "relaxed", "lattice_angstrom": [[4.494, 0.000, 0.000], [0.000, 4.494, 0.000], [0.000, 0.000, 4.494]], "species": ["Sb", "Mo", "Mo", "Mo", "P"], "fractional_positions": [[0.000, 0.000, 0.000], [0.000, 0.500, 0.500], [0.500, 0.000, 0.500], [0.500, 0.500, 0.000], [0.500, 0.500, 0.500]], "total_energy_ev_per_atom": -7.918, "total_magnetization_mub_per_atom": 0.0000, "e_form_raw_ev_per_atom": 0.4868, "spacegroup": "Pm-3m, No. 221", "polymorph_energy_mev_per_atom": 0}



No. 5
{"formula": "Sb2MoP", "functional": "PBE", "state": "relaxed", "lattice_angstrom": [[3.235, 0.000, 0.000], [0.000, 3.235, 0.000], [0.000, 0.000, 8.036]], "species": ["Sb", "Sb", "Mo", "P"], "fractional_positions": [[0.000, 0.000, 0.000], [0.500, 0.500, 0.398], [0.000, 0.000, 0.637], [0.500, 0.500, 0.767]], "total_energy_ev_per_atom": -6.200, "total_magnetization_mub_per_atom": 0.0000, "e_form_raw_ev_per_atom": -0.0782, "spacegroup": "P4mm, No. 99"}



No. 6
{"formula": "Sb2MoP", "functional": "PBE", "state": "relaxed", "lattice_angstrom": [[4.380, 0.000, 0.000], [0.000, 4.380, 0.000], [0.000, 0.000, 8.330]], "species": ["Sb", "Sb", "Sb", "Sb", "Mo", "Mo", "P", "P"], "fractional_positions": [[0.000, 0.500, 0.250], [0.000, 0.500, 0.750], [0.500, 0.000, 0.250], [0.500, 0.000, 0.750], [0.000, 0.000, 0.000], [0.500, 0.500, 0.500], [0.000, 0.000, 0.500], [0.500, 0.500, 0.000]], "total_energy_ev_per_atom": -5.471, "total_magnetization_mub_per_atom": 0.3131, "e_form_raw_ev_per_atom": 0.6504, "spacegroup": "I4/mmm, No. 139"}



No. 7
{"formula": "Sb2MoP", "functional": "PBE", "state": "relaxed", "lattice_angstrom": [[8.170, 0.000, 0.000], [0.000, 3.392, 0.000], [-0.953, 0.000, 6.499]], "species": ["Sb", "Sb", "Sb", "Sb", "Mo", "Mo", "P", "P"], "fractional_positions": [[0.000, 0.000, 0.000], [0.240, 0.000, 0.617], [0.500, 0.500, 0.000], [0.740, 0.500, 0.617], [0.012, 0.500, 0.344], [0.512, 0.000, 0.344], [0.300, 0.500, 0.278], [0.800, 0.000, 0.278]], "total_energy_ev_per_atom": -6.135, "total_magnetization_mub_per_atom": 0.0000, "e_form_raw_ev_per_atom": -0.0131, "spacegroup": "Cm, No. 8"}



No. 8
{"formula": "TcSbMoP2", "functional": "PBE", "state": "relaxed", "lattice_angstrom": [[4.452, 0.000, 0.000], [0.000, 4.452, 0.000], [0.000, 0.000, 5.624]], "species": ["Tc", "Sb", "Mo", "P", "P"], "fractional_positions": [[0.000, 0.000, 0.000], [0.000, 0.000, 0.500], [0.500, 0.500, 0.500], [0.000, 0.500, 0.000], [0.500, 0.000, 0.000]], "total_energy_ev_per_atom": -6.306, "total_magnetization_mub_per_atom": 0.6433, "e_form_raw_ev_per_atom": 0.9217, "spacegroup": "P4/mmm, No. 123"}



No. 9
{"formula": "V2SbMoP", "functional": "PBE", "state": "relaxed", "lattice_angstrom": [[4.300, 0.000, 0.000], [0.000, 4.300, 0.000], [0.000, 0.000, 5.113]], "species": ["V", "V", "Sb", "Mo", "P"], "fractional_positions": [[0.000, 0.500, 0.000], [0.500, 0.000, 0.000], [0.000, 0.000, 0.500], [0.500, 0.500, 0.500], [0.000, 0.000, 0.000]], "total_energy_ev_per_atom": -6.899, "total_magnetization_mub_per_atom": 0.0090, "e_form_raw_ev_per_atom": 0.8208, "spacegroup": "P4/mmm, No. 123"}



No. 10
{"formula": "SbMo2PW", "functional": "PBE", "state": "relaxed", "lattice_angstrom": [[4.500, 0.000, 0.000], [0.000, 4.500, 0.000], [0.000, 0.000, 4.501]], "species": ["Sb", "Mo", "Mo", "P", "W"], "fractional_positions": [[0.000, 0.000, 0.000], [0.000, 0.500, 0.500], [0.500, 0.000, 0.500], [0.500, 0.500, 0.500], [0.500, 0.500, 0.000]], "total_energy_ev_per_atom": -8.180, "total_magnetization_mub_per_atom": 0.0000, "e_form_raw_ev_per_atom": 0.6498, "spacegroup": "P4/mmm, No. 123"}



No. 11
{"formula": "ZnSbMoP2", "functional": "PBE", "state": "relaxed", "lattice_angstrom": [[4.638, 0.000, 0.000], [0.000, 4.638, 0.000], [0.000, 0.000, 5.088]], "species": ["Zn", "Sb", "Mo", "P", "P"], "fractional_positions": [[0.000, 0.000, 0.000], [0.500, 0.500, 0.000], [0.000, 0.000, 0.500], [0.000, 0.500, 0.500], [0.500, 0.000, 0.500]], "total_energy_ev_per_atom": -4.862, "total_magnetization_mub_per_atom": 0.0000, "e_form_raw_ev_per_atom": 0.5471, "spacegroup": "P4/mmm, No. 123"}



No. 12
{"formula": "ZnSb2MoP", "functional": "PBE", "state": "relaxed", "lattice_angstrom": [[5.345, 0.000, 0.000], [0.000, 5.345, 0.000], [0.000, 0.000, 4.563]], "species": ["Zn", "Sb", "Sb", "Mo", "P"], "fractional_positions": [[0.000, 0.000, 0.000], [0.000, 0.500, 0.500], [0.500, 0.000, 0.500], [0.500, 0.500, 0.500], [0.500, 0.500, 0.000]], "total_energy_ev_per_atom": -4.687, "total_magnetization_mub_per_atom": 0.0000, "e_form_raw_ev_per_atom": 0.4650, "spacegroup": "P4/mmm, No. 123"}



No. 13
{"formula": "ScMo2P2", "functional": "PBE", "state": "relaxed", "lattice_angstrom": [[6.925, 0.000, 0.000], [0.000, 6.925, 0.000], [0.000, 0.000, 3.151]], "species": ["Sc", "Sc", "Mo", "Mo", "Mo", "Mo", "P", "P", "P", "P"], "fractional_positions": [[0.000, 0.000, 0.000], [0.500, 0.500, 0.000], [0.144, 0.356, 0.500], [0.356, 0.856, 0.500], [0.644, 0.144, 0.500], [0.856, 0.644, 0.500], [0.145, 0.645, 0.000], [0.355, 0.145, 0.000], [0.645, 0.855, 0.000], [0.855, 0.355, 0.000]], "total_energy_ev_per_atom": -8.306, "total_magnetization_mub_per_atom": 0.0000, "e_form_kj_per_mol_atoms": -52.4, "spacegroup": "P4/mbm, No. 127"}



No. 14
{"formula": "ScMoP", "functional": "PBE", "state": "relaxed", "lattice_angstrom": [[6.144, 0.000, 0.000], [0.000, 6.144, 0.000], [0.000, 0.000, 6.144]], "species": ["Sc", "Sc", "Sc", "Sc", "Mo", "Mo", "Mo", "Mo", "P", "P", "P", "P"], "fractional_positions": [[0.000, 0.000, 0.000], [0.000, 0.500, 0.500], [0.500, 0.000, 0.500], [0.500, 0.500, 0.000], [0.250, 0.250, 0.750], [0.250, 0.750, 0.250], [0.750, 0.250, 0.250], [0.750, 0.750, 0.750], [0.250, 0.250, 0.250], [0.250, 0.750, 0.750], [0.750, 0.250, 0.750], [0.750, 0.750, 0.250]], "total_energy_ev_per_atom": -6.857, "total_magnetization_mub_per_atom": 0.4003, "e_form_kj_per_mol_atoms": 64.4, "spacegroup": "F-43m, No. 216"}



No. 15
{"formula": "ScMoP3", "functional": "PBE", "state": "relaxed", "lattice_angstrom": [[4.676, 0.000, 0.000], [0.000, 4.676, 0.000], [0.000, 0.000, 4.676]], "species": ["Sc", "Mo", "P", "P", "P"], "fractional_positions": [[0.000, 0.000, 0.000], [0.500, 0.500, 0.500], [0.000, 0.500, 0.500], [0.500, 0.000, 0.500], [0.500, 0.500, 0.000]], "total_energy_ev_per_atom": -6.533, "total_magnetization_mub_per_atom": 0.0000, "e_form_kj_per_mol_atoms": 14.0, "spacegroup": "Pm-3m, No. 221", "polymorph_energy_mev_per_atom": 0}



No. 16
{"formula": "ScMo4P", "functional": "PBE", "state": "relaxed", "lattice_angstrom": [[0.000, 3.724, 3.724], [3.724, 0.000, 3.724], [3.724, 3.724, 0.000]], "species": ["Sc", "Mo", "Mo", "Mo", "Mo", "P"], "fractional_positions": [[0.000, 0.000, 0.000], [0.128, 0.624, 0.624], [0.624, 0.128, 0.624], [0.624, 0.624, 0.128], [0.624, 0.624, 0.624], [0.250, 0.250, 0.250]], "total_energy_ev_per_atom": -8.850, "total_magnetization_mub_per_atom": 0.0000, "e_form_kj_per_mol_atoms": 31.6, "spacegroup": "F-43m, No. 216"}



No. 17
{"formula": "ScMoP", "functional": "PBE", "state": "relaxed", "lattice_angstrom": [[4.102, 0.000, 0.000], [-2.051, 3.552, 0.000], [0.000, 0.000, 3.587]], "species": ["Sc", "Mo", "P"], "fractional_positions": [[0.000, 0.000, 0.000], [0.667, 0.333, 0.500], [0.333, 0.667, 0.500]], "total_energy_ev_per_atom": -7.992, "total_magnetization_mub_per_atom": 0.0000, "e_form_kj_per_mol_atoms": -45.1, "spacegroup": "P-6m2, No. 187"}



No. 18
{"formula": "ScMoP", "functional": "PBE", "state": "relaxed", "lattice_angstrom": [[3.236, 0.000, 0.000], [0.000, 3.236, 0.000], [0.000, 0.000, 9.432]], "species": ["Sc", "Sc", "Mo", "Mo", "P", "P"], "fractional_positions": [[0.000, 0.000, 0.000], [0.500, 0.500, 0.500], [0.000, 0.000, 0.701], [0.500, 0.500, 0.201], [0.000, 0.000, 0.308], [0.500, 0.500, 0.808]], "total_energy_ev_per_atom": -8.133, "total_magnetization_mub_per_atom": 0.0000, "e_form_kj_per_mol_atoms": -58.7, "spacegroup": "I4mm, No. 107"}



No. 19
{"formula": "ScMoP4", "functional": "PBE", "state": "relaxed", "lattice_angstrom": [[0.000, 3.554, 3.554], [3.554, 0.000, 3.554], [3.554, 3.554, 0.000]], "species": ["Sc", "Mo", "P", "P", "P", "P"], "fractional_positions": [[0.000, 0.000, 0.000], [0.750, 0.750, 0.750], [0.376, 0.376, 0.376], [0.376, 0.376, 0.871], [0.376, 0.871, 0.376], [0.871, 0.376, 0.376]], "total_energy_ev_per_atom": -6.158, "total_magnetization_mub_per_atom": 0.0006, "e_form_kj_per_mol_atoms": 29.8, "spacegroup": "F-43m, No. 216"}



No. 20
{"formula": "ScMoP", "functional": "PBE", "state": "relaxed", "lattice_angstrom": [[5.933, 0.000, 0.000], [0.000, 5.933, 0.000], [0.000, 0.000, 5.933]], "species": ["Sc", "Sc", "Sc", "Sc", "Mo", "Mo", "Mo", "Mo", "P", "P", "P", "P"], "fractional_positions": [[0.000, 0.000, 0.000], [0.000, 0.500, 0.500], [0.500, 0.000, 0.500], [0.500, 0.500, 0.000], [0.000, 0.000, 0.500], [0.000, 0.500, 0.000], [0.500, 0.000, 0.000], [0.500, 0.500, 0.500], [0.250, 0.250, 0.250], [0.250, 0.750, 0.750], [0.750, 0.250, 0.750], [0.750, 0.750, 0.250]], "total_energy_ev_per_atom": -8.020, "total_magnetization_mub_per_atom": 0.0004, "e_form_kj_per_mol_atoms": -47.8, "spacegroup": "F-43m, No. 216"}